4
Lattice="3.4616 0.0000 0.0000 0.0000 3.4616 0.0000 0.0000 0.0000 9.3037" Properties=species:S:1:pos:R:3 comment="EuEr2Tc (PBE-GGA, relaxed)" formation_energy_kj_per_mol_atoms=-2.14 dos_at_fermi_per_ev_cell=5.16 sg=P4/mmm pbc="T T T"
Eu 0.0000 0.0000 0.0000
Er 1.7308 1.7308 3.0431
Er 1.7308 1.7308 6.2606
Tc 0.0000 0.0000 4.6519